Compound: Hf2TlIr2
Source: Alexandria
Functional: GGA-PBE
Structure: relaxed

Calculated values
E ... -8.47 eV/atom
Excess energy over the best structure of this formula in the dataset ... 147 meV per atom
Total magnetic moment ... 0.0 μB per formula unit
Formation energy from the elements ... -0.4730 eV per atom
Calculated density ... 15.9 Mg/m³
SG ... P4/mbm, No. 127

```
Hf2TlIr2
1.0
8.0014 0.0000 0.0000
0.0000 8.0014 0.0000
0.0000 0.0000 3.0942
Ir Hf Tl
4 4 2
Direct
0.6366 0.8634 0.5000
0.1366 0.6366 0.5000
0.3634 0.1366 0.5000
0.8634 0.3634 0.5000
0.6486 0.1486 0.0000
0.3514 0.8514 0.0000
0.1486 0.3514 0.0000
0.8514 0.6486 0.0000
0.5000 0.5000 0.0000
0.0000 0.0000 0.0000
```